(1)
Computed, not measured: a crystal of Al2AgPF relaxed with PBEsol at the SCAN level of DFT.

abc: 4.9028 4.9028 4.5978
angles: 90.00 90.00 90.00
Fractional positions:
Al 0.0000 0.5000 0.0000
Al 0.5000 0.0000 0.0000
Ag 0.0000 0.0000 0.0000
P 0.0000 0.0000 0.5000
F 0.5000 0.5000 0.5000

Properties
ΔE_f (raw): 1.75 eV per formula unit
Total energy: -11.811 eV per atom
Total magnetic moment: 1.09 Bohr magnetons per cell
Crystal system: tetragonal

=====

(2)
Computed, not measured: a crystal of AlZnAg2F relaxed with PBEsol at the SCAN level of DFT.

abc: 4.7891 4.7891 4.7966
angles: 90.00 90.00 90.00
Fractional positions:
Al 0.0000 0.0000 0.0000
Zn 0.0000 0.0000 0.5000
Ag 0.0000 0.5000 0.0000
Ag 0.5000 0.0000 0.0000
F 0.5000 0.5000 0.5000

Properties
ΔE_f (raw): 1.42 eV per formula unit
Total energy: -17.224 eV per atom
Total magnetic moment: 0.00 Bohr magnetons per cell
Crystal system: tetragonal